Entry 1:
First-principles (GGA-PBE) data for crystalline AlBS at its relaxed geometry, as listed in Alexandria via LeMat-Bulk.

## Properties
Energy relative to the lowest polymorph listed for this composition: 0.351 eV per atom
ΔE_f (raw): -0.6 kcal/mol of atoms

Lattice parameters (Å, degrees): 3.151 5.153 6.691 96.03 90.70 107.71
Space group P1 (No. 1)
One atom of each set of equivalent atoms:
Al (0.000, 0.000, 0.000) x1
Al (0.226, 0.466, 0.756) x1
B (0.003, 0.025, 0.669) x1
B (0.783, 0.570, 0.978) x1
S (0.415, 0.854, 0.552) x1
S (0.655, 0.305, 0.153) x1

=====

Entry 2:
First-principles (GGA-PBE) data for crystalline CaGdErLu at its relaxed geometry, as listed in Alexandria via LeMat-Bulk.

## Properties
DFT formation energy: 156 meV/atom

Lattice parameters (Å, degrees): 8.059 8.059 8.059 90.00 90.00 90.00
Space group F-43m (No. 216)
One atom of each set of equivalent atoms:
Ca (0.000, 0.000, 0.000) x4
Gd (0.250, 0.250, 0.750) x4
Er (0.250, 0.250, 0.250) x4
Lu (0.000, 0.000, 0.500) x4

=====

Entry 3:
First-principles (GGA-PBE) data for crystalline SmYSnTe at its relaxed geometry, as listed in Alexandria via LeMat-Bulk.

## Properties
ΔE_f (raw): -25.1 kcal/mol of atoms

Lattice parameters (Å, degrees): 4.4306 4.4306 21.8643 90.00 90.00 120.00
Space group R3m (No. 160, hexagonal axes)
One atom of each set of equivalent atoms:
Sm (0.0000, 0.0000, 0.0000) x3
Y (0.0000, 0.0000, 0.5079) x3
Sn (0.0000, 0.0000, 0.2525) x3
Te (0.0000, 0.0000, 0.7558) x3

=====

Entry 4:
First-principles (GGA-PBE) data for crystalline Sr2HoInHg6 at its relaxed geometry, as listed in Alexandria via LeMat-Bulk.

## Properties
DFT formation energy: -114 meV/atom

Lattice parameters (Å, degrees): 11.248 11.248 11.248 90.00 90.00 90.00
Space group Fm-3m (No. 225)
One atom of each set of equivalent atoms:
Sr (0.250, 0.250, 0.250) x8
Ho (0.000, 0.000, 0.000) x4
In (0.000, 0.000, 0.500) x4
Hg (0.000, 0.000, 0.253) x24

=====

Entry 5:
First-principles (GGA-PBE) data for crystalline ReTe2Pt2 at its relaxed geometry, as listed in Alexandria via LeMat-Bulk.

## Properties
Energy relative to the lowest polymorph listed for this composition: 0.000 eV per atom
ΔE_f (raw): 14.3 kcal/mol of atoms

Lattice parameters (Å, degrees): 7.297 7.297 3.695 90.00 90.00 90.00
Space group P4/mbm (No. 127)
One atom of each set of equivalent atoms:
Re (0.000, 0.000, 0.000) x2
Te (0.170, 0.330, 0.000) x4
Pt (0.138, 0.638, 0.500) x4

=====

Entry 6:
First-principles (GGA-PBE) data for crystalline LiTaNiRh at its relaxed geometry, as listed in Alexandria via LeMat-Bulk.

## Properties
DFT formation energy: -286 meV/atom

Lattice parameters (Å, degrees): 6.053 6.053 6.053 90.00 90.00 90.00
Space group F-43m (No. 216)
One atom of each set of equivalent atoms:
Li (0.000, 0.000, 0.000) x4
Ta (0.000, 0.000, 0.500) x4
Ni (0.250, 0.250, 0.750) x4
Rh (0.250, 0.250, 0.250) x4

=====

Entry 7:
First-principles (GGA-PBE) data for crystalline SmCoSi2Ir at its relaxed geometry, as listed in Alexandria via LeMat-Bulk.

## Properties
ΔE_f (raw): -21.4 kcal/mol of atoms

Lattice parameters (Å, degrees): 4.007 4.007 10.077 90.00 90.00 90.00
Space group I-4m2 (No. 119)
One atom of each set of equivalent atoms:
Sm (0.000, 0.000, 0.000) x2
Co (0.000, 0.500, 0.250) x2
Si (0.000, 0.000, 0.374) x4
Ir (0.000, 0.500, 0.750) x2

=====

Entry 8:
First-principles (GGA-PBE) data for crystalline Sb2AsBr at its relaxed geometry, as listed in Alexandria via LeMat-Bulk.

## Properties
Energy relative to the lowest polymorph listed for this composition: 0.295 eV per atom
ΔE_f (raw): 5.6 kcal/mol of atoms

Lattice parameters (Å, degrees): 3.672 5.761 9.994 90.00 90.00 90.00
Space group Cmm2 (No. 35)
One atom of each set of equivalent atoms:
Sb (0.000, 0.000, 0.000) x2
Sb (0.000, 0.500, 0.292) x2
As (0.000, 0.500, 0.797) x2
Br (0.000, 0.000, 0.521) x2

=====

Entry 9:
First-principles (GGA-PBE) data for crystalline SnTe2Mo at its relaxed geometry, as listed in Alexandria via LeMat-Bulk.

## Properties
Energy relative to the lowest polymorph listed for this composition: 0.411 eV per atom
ΔE_f (raw): 9.8 kcal/mol of atoms

Lattice parameters (Å, degrees): 6.813 6.813 12.000 90.00 90.00 90.00
Space group I-42d (No. 122)
One atom of each set of equivalent atoms:
Sn (0.000, 0.000, 0.000) x4
Te (0.192, 0.250, 0.625) x8
Mo (0.000, 0.000, 0.500) x4

=====

Entry 10:
First-principles (GGA-PBE) data for crystalline SrLa4Cd at its relaxed geometry, as listed in Alexandria via LeMat-Bulk.

## Properties
DFT formation energy: 207 meV/atom

Lattice parameters (Å, degrees): 9.640 9.640 9.640 90.00 90.00 90.00
Space group F-43m (No. 216)
One atom of each set of equivalent atoms:
Sr (0.000, 0.000, 0.000) x4
La (0.121, 0.121, 0.379) x16
Cd (0.250, 0.250, 0.750) x4

=====

Entry 11:
First-principles (GGA-PBE) data for crystalline Zn5Ag12Sb3 at its relaxed geometry, as listed in Alexandria via LeMat-Bulk.

## Properties
ΔE_f (raw): 7.5 kcal/mol of atoms

Lattice parameters (Å, degrees): 15.759 15.759 15.759 90.00 90.00 90.00
Space group Ia-3d (No. 230)
One atom of each set of equivalent atoms:
Zn (0.000, 0.000, 0.000) x16
Zn (0.000, 0.250, 0.375) x24
Ag (0.012, 0.072, 0.650) x96
Sb (0.000, 0.250, 0.125) x24

=====

Entry 12:
First-principles (GGA-PBE) data for crystalline Sm2ErC2I2 at its relaxed geometry, as listed in Alexandria via LeMat-Bulk.

## Properties
ΔE_f (raw): -11.5 kcal/mol of atoms

Lattice parameters (Å, degrees): 4.461 4.461 19.920 90.00 90.00 90.00
Space group I4/mmm (No. 139)
One atom of each set of equivalent atoms:
Sm (0.000, 0.000, 0.077) x4
Er (0.000, 0.000, 0.500) x2
C (0.000, 0.500, 0.000) x4
I (0.000, 0.000, 0.338) x4

=====

Entry 13:
First-principles (GGA-PBE) data for crystalline Fe2PtN at its relaxed geometry, as listed in Alexandria via LeMat-Bulk.

## Properties
ΔE_f (raw): 2.6 kcal/mol of atoms

Lattice parameters (Å, degrees): 5.795 5.795 5.610 90.00 90.00 90.00
Space group I-42d (No. 122)
One atom of each set of equivalent atoms:
Fe (0.138, 0.250, 0.125) x8
Pt (0.000, 0.000, 0.500) x4
N (0.000, 0.000, 0.000) x4

=====

Entry 14:
First-principles (GGA-PBE) data for crystalline Tb2PrTmTl2 at its relaxed geometry, as listed in Alexandria via LeMat-Bulk.

## Properties
DFT formation energy: -265 meV/atom

Lattice parameters (Å, degrees): 5.139 10.076 6.888 90.00 90.00 90.00
Space group Pmc2_1 (No. 26)
One atom of each set of equivalent atoms:
Tb (0.000, 0.047, 0.000) x2
Tb (0.500, 0.182, 0.287) x2
Pr (0.500, 0.455, 0.904) x2
Tm (0.000, 0.306, 0.624) x2
Tl (0.000, 0.365, 0.172) x2
Tl (0.500, 0.134, 0.745) x2

=====

Entry 15:
First-principles (GGA-PBE) data for crystalline TaNiSnSe3 at its relaxed geometry, as listed in Alexandria via LeMat-Bulk.

## Properties
ΔE_f (raw): -9.7 kcal/mol of atoms

Lattice parameters (Å, degrees): 9.368 3.462 9.406 90.00 115.68 90.00
Space group P2_1/m (No. 11)
One atom of each set of equivalent atoms:
Ta (0.176, 0.250, 0.200) x2
Ni (0.389, 0.750, 0.416) x2
Sn (0.230, 0.250, 0.719) x2
Se (0.117, 0.750, 0.374) x2
Se (0.147, 0.750, 0.975) x2
Se (0.475, 0.250, 0.296) x2